1.
A crystal of SnBN3 relaxed with PBEsol, computed with meta-GGA SCAN.

a b c (Å): 4.1572 4.1572 4.1572
angles (deg): 90.00 90.00 90.00
Site moments in Bohr magnetons follow the coordinates.
Fractional coordinates of all 5 atoms:
B: 0.5000 0.5000 0.5000  -0.08
Sn: 0.0000 0.0000 0.0000  -0.10
N: 0.0000 0.5000 0.0000  1.03
N: 0.0000 0.0000 0.5000  1.03
N: 0.5000 0.0000 0.0000  1.03

ΔE_f (raw) = 2.57 eV per atom
DOS at the Fermi energy = 2.7 states/eV/f.u.
Size of the total moment = 4.0 Bohr magnetons per cell



2.
A crystal of CdMoO2F relaxed with PBEsol, computed with meta-GGA SCAN.

a b c (Å): 3.8505 3.8505 4.3371
angles (deg): 90.00 90.00 90.00
Fractional coordinates of all 5 atoms:
Mo: 0.0000 0.0000 0.0000
F: 0.0000 0.0000 0.5000
O: 0.0000 0.5000 0.0000
O: 0.5000 0.0000 0.0000
Cd: 0.5000 0.5000 0.5000

ΔE_f (raw) = -1.49 eV per atom
DOS at the Fermi energy = 2.6 states/eV/f.u.
Size of the total moment = 0.0 Bohr magnetons per cell



3.
A crystal of Li11Ge6 relaxed with PBEsol, computed with meta-GGA SCAN.

a b c (Å): 4.2842 10.4977 12.3900
angles (deg): 90.00 99.96 90.00
Fractional coordinates of all 34 atoms:
Li: 0.8206 0.8816 0.6412
Li: 0.1794 0.1184 0.3588
Li: 0.1794 0.3816 0.3588
Li: 0.8206 0.6184 0.6412
Li: 0.0879 0.0006 0.1757
Li: 0.9121 0.9994 0.8243
Li: 0.9121 0.5006 0.8243
Li: 0.0879 0.4994 0.1757
Li: 0.8576 0.2500 0.7152
Li: 0.1424 0.7500 0.2848
Li: 0.9757 0.2500 0.9515
Li: 0.0243 0.7500 0.0485
Li: 0.3584 0.7500 0.7168
Li: 0.6416 0.2500 0.2832
Li: 0.4640 0.8856 0.9280
Li: 0.5360 0.1144 0.0720
Li: 0.5360 0.3856 0.0720
Li: 0.4640 0.6144 0.9280
Li: 0.2415 0.6058 0.4831
Li: 0.7585 0.3942 0.5169
Li: 0.7585 0.1058 0.5169
Li: 0.2415 0.8942 0.4831
Ge: 0.0823 0.2500 0.1645
Ge: 0.9177 0.7500 0.8355
Ge: 0.2716 0.2500 0.5433
Ge: 0.7284 0.7500 0.4567
Ge: 0.6707 0.5523 0.3414
Ge: 0.3293 0.4477 0.6586
Ge: 0.3293 0.0523 0.6586
Ge: 0.6707 0.9477 0.3414
Ge: 0.5749 0.6344 0.1497
Ge: 0.4251 0.3656 0.8503
Ge: 0.4251 0.1344 0.8503
Ge: 0.5749 0.8656 0.1497

ΔH_f (0 K) = -342 meV per atom
DOS at the Fermi energy = 3.1 states/eV/f.u.
Size of the total moment = 0.0 Bohr magnetons per cell



4.
A crystal of Cr2Sb2S relaxed with PBEsol, computed with meta-GGA SCAN.

a b c (Å): 4.2565 4.2565 6.0864
angles (deg): 110.47 110.47 90.00
Fractional coordinates of all 5 atoms:
Sb: 0.2500 0.7500 0.5000
Sb: 0.7500 0.2500 0.5000
S: 0.0000 0.0000 0.0000
Cr: 0.4129 0.4129 0.8258
Cr: 0.5871 0.5871 0.1742

ΔE_f (raw) = 0.81 eV per atom
DOS at the Fermi energy = 4.1 states/eV/f.u.
Size of the total moment = 0.0 Bohr magnetons per cell



5.
A crystal of In2AsOsN relaxed with PBEsol, computed with meta-GGA SCAN.

a b c (Å): 4.1224 4.4572 4.4572
angles (deg): 90.00 90.00 90.00
Fractional coordinates of all 5 atoms:
As: 0.5000 0.0000 0.0000
N: 0.0000 0.0000 0.0000
Os: 0.5000 0.5000 0.5000
In: 0.0000 0.0000 0.5000
In: 0.0000 0.5000 0.0000

ΔE_f (raw) = 1.03 eV per atom
DOS at the Fermi energy = 3.1 states/eV/f.u.
Size of the total moment = 0.0 Bohr magnetons per cell



6.
A crystal of Li3AgF relaxed with PBEsol, computed with meta-GGA SCAN.

a b c (Å): 4.8362 4.8362 4.8362
angles (deg): 90.00 90.00 90.00
Fractional coordinates of all 5 atoms:
Li: 0.0000 0.5000 0.0000
Li: 0.0000 0.0000 0.5000
Li: 0.5000 0.0000 0.0000
Ag: 0.0000 0.0000 0.0000
F: 0.5000 0.5000 0.5000

Energy above the lowest structure with this stoichiometry = 0.865 eV per atom
ΔE_f (raw) = -0.34 eV per atom
DOS at the Fermi energy = 2.3 states/eV/f.u.
Size of the total moment = 0.0 Bohr magnetons per cell